No. 1
! BaSc2 | Alexandria via LeMat-Bulk | GGA-PBE | optimized geometry; values from VASP
&SYSTEM
  ibrav = 0, nat = 6, ntyp = 2
/
ATOMIC_SPECIES
Sc 44.96 Sc.upf
Ba 137.33 Ba.upf
ATOMIC_POSITIONS crystal
Sc 0.936 0.686 0.250
Sc 0.216 0.466 0.750
Ba 0.386 0.136 0.250
Ba 0.614 0.864 0.750
Sc 0.064 0.314 0.750
Sc 0.784 0.534 0.250
CELL_PARAMETERS angstrom
-1.767 2.966 9.814
1.767 -2.966 9.814
1.767 2.966 -9.814
! Energy above the lowest structure with this stoichiometry: 281.5 meV per atom
! Symmetry: Imma, No. 74
! Spin magnetization: 0.04 μB/atom
! Raw total energy: -4.348 eV/atom

---

No. 2
! Ba3Sc | Alexandria via LeMat-Bulk | GGA-PBE | optimized geometry; values from VASP
&SYSTEM
  ibrav = 0, nat = 4, ntyp = 2
/
ATOMIC_SPECIES
Ba 137.33 Ba.upf
Sc 44.96 Sc.upf
ATOMIC_POSITIONS crystal
Ba 0.000 0.000 0.000
Ba 0.500 0.500 0.000
Ba 0.500 0.000 0.500
Sc 0.000 0.500 0.500
CELL_PARAMETERS angstrom
7.612 0.000 -0.001
-3.456 6.782 -0.001
-3.456 -5.639 3.769
! Energy above the lowest structure with this stoichiometry: 97.6 meV per atom
! Symmetry: R-3m, No. 166
! Spin magnetization: 0.00 μB/atom
! Raw total energy: -2.694 eV/atom

---

No. 3
! Ba3Sc | Alexandria via LeMat-Bulk | GGA-PBE | optimized geometry; values from VASP
&SYSTEM
  ibrav = 0, nat = 4, ntyp = 2
/
ATOMIC_SPECIES
Sc 44.96 Sc.upf
Ba 137.33 Ba.upf
ATOMIC_POSITIONS crystal
Sc 0.000 0.500 0.326
Ba 0.500 0.000 0.491
Ba 0.500 0.500 0.831
Ba 0.000 0.000 0.019
CELL_PARAMETERS angstrom
-1.772 -3.554 0.986
3.752 -0.375 5.390
-4.988 3.519 3.717
! Energy above the lowest structure with this stoichiometry: 83.8 meV per atom
! Symmetry: Pmm2, No. 25
! Spin magnetization: 0.12 μB/atom
! Raw total energy: -2.708 eV/atom

---

No. 4
! Ba3Sc | Alexandria via LeMat-Bulk | GGA-PBE | optimized geometry; values from VASP
&SYSTEM
  ibrav = 0, nat = 4, ntyp = 2
/
ATOMIC_SPECIES
Sc 44.96 Sc.upf
Ba 137.33 Ba.upf
ATOMIC_POSITIONS crystal
Sc 0.000 0.000 0.000
Ba 0.500 0.500 0.000
Ba 0.500 0.000 0.500
Ba 0.000 0.500 0.500
CELL_PARAMETERS angstrom
-5.549 -1.971 3.711
4.770 -5.034 0.587
1.582 1.892 3.370
! Energy above the lowest structure with this stoichiometry: 103.2 meV per atom
! Symmetry: Cmmm, No. 65
! Spin magnetization: 0.05 μB/atom
! Raw total energy: -2.689 eV/atom

---

No. 5
! BaSc4 | Alexandria via LeMat-Bulk | GGA-PBE | optimized geometry; values from VASP
&SYSTEM
  ibrav = 0, nat = 5, ntyp = 2
/
ATOMIC_SPECIES
Sc 44.96 Sc.upf
Ba 137.33 Ba.upf
ATOMIC_POSITIONS crystal
Sc 0.500 0.000 0.500
Sc 0.000 0.500 0.500
Ba 0.500 0.500 0.500
Sc 0.000 0.000 0.000
Sc 0.500 0.500 0.000
CELL_PARAMETERS angstrom
5.302 0.000 0.000
0.000 5.302 0.000
0.000 0.000 5.302
! Energy above the lowest structure with this stoichiometry: 850.9 meV per atom
! Symmetry: Pm-3m, No. 221
! Spin magnetization: 0.00 μB/atom
! Raw total energy: -4.364 eV/atom

---

No. 6
! Ba5Sc3 | Alexandria via LeMat-Bulk | GGA-PBE | optimized geometry; values from VASP
&SYSTEM
  ibrav = 0, nat = 8, ntyp = 2
/
ATOMIC_SPECIES
Sc 44.96 Sc.upf
Ba 137.33 Ba.upf
ATOMIC_POSITIONS crystal
Sc 0.696 0.304 0.500
Ba 0.000 0.000 0.000
Sc 0.304 0.696 0.500
Sc 0.500 0.500 0.000
Ba 0.285 0.285 0.500
Ba 0.500 0.000 0.000
Ba 0.000 0.500 0.000
Ba 0.715 0.715 0.500
CELL_PARAMETERS angstrom
-1.106 0.987 9.143
-3.368 -8.614 0.499
3.837 -1.464 0.622
! Energy above the lowest structure with this stoichiometry: 0.0 meV per atom
! Symmetry: Cmmm, No. 65
! Spin magnetization: 0.00 μB/atom
! Raw total energy: -3.230 eV/atom

---

No. 7
! BaSc2 | Alexandria via LeMat-Bulk | GGA-PBE | optimized geometry; values from VASP
&SYSTEM
  ibrav = 0, nat = 6, ntyp = 2
/
ATOMIC_SPECIES
Ba 137.33 Ba.upf
Sc 44.96 Sc.upf
ATOMIC_POSITIONS crystal
Ba 0.659 0.659 0.374
Ba 0.341 0.341 0.626
Sc 0.037 0.037 0.793
Sc 0.963 0.963 0.207
Sc 0.645 0.645 0.984
Sc 0.355 0.355 0.016
CELL_PARAMETERS angstrom
-6.584 -0.905 0.935
-6.059 -0.980 -2.715
-1.736 -8.847 -0.067
! Energy above the lowest structure with this stoichiometry: 12.0 meV per atom
! Symmetry: C2/m, No. 12
! Spin magnetization: 0.00 μB/atom
! Raw total energy: -4.618 eV/atom

---

No. 8
! BaSc2 | Alexandria via LeMat-Bulk | GGA-PBE | optimized geometry; values from VASP
&SYSTEM
  ibrav = 0, nat = 12, ntyp = 2
/
ATOMIC_SPECIES
Sc 44.96 Sc.upf
Ba 137.33 Ba.upf
ATOMIC_POSITIONS crystal
Sc 0.363 0.363 0.637
Sc 0.137 0.637 0.137
Ba 0.000 0.000 0.000
Sc 0.863 0.363 0.863
Sc 0.637 0.863 0.863
Sc 0.137 0.863 0.637
Sc 0.363 0.137 0.137
Ba 0.500 0.000 0.500
Sc 0.637 0.637 0.363
Ba 0.500 0.500 0.000
Ba 0.000 0.500 0.500
Sc 0.863 0.137 0.363
CELL_PARAMETERS angstrom
7.203 0.000 0.000
0.000 7.203 0.000
0.000 0.000 7.203
! Energy above the lowest structure with this stoichiometry: 890.9 meV per atom
! Symmetry: Pa-3, No. 205
! Spin magnetization: 0.00 μB/atom
! Raw total energy: -3.739 eV/atom

---

No. 9
! BaSc2 | Alexandria via LeMat-Bulk | GGA-PBE | optimized geometry; values from VASP
&SYSTEM
  ibrav = 0, nat = 3, ntyp = 2
/
ATOMIC_SPECIES
Sc 44.96 Sc.upf
Ba 137.33 Ba.upf
ATOMIC_POSITIONS crystal
Sc 0.333 0.667 0.336
Sc 0.667 0.333 0.664
Ba 0.000 0.000 0.000
CELL_PARAMETERS angstrom
-2.345 2.930 4.363
-3.254 -1.604 -4.467
-0.716 -2.901 1.564
! Energy above the lowest structure with this stoichiometry: 213.7 meV per atom
! Symmetry: P-3m1, No. 164
! Spin magnetization: 0.00 μB/atom
! Raw total energy: -4.416 eV/atom

---

No. 10
! Ba3Sc | Alexandria via LeMat-Bulk | GGA-PBE | optimized geometry; values from VASP
&SYSTEM
  ibrav = 0, nat = 4, ntyp = 2
/
ATOMIC_SPECIES
Sc 44.96 Sc.upf
Ba 137.33 Ba.upf
ATOMIC_POSITIONS crystal
Sc 0.500 0.500 0.250
Ba 0.000 0.000 0.450
Ba 0.500 0.500 0.750
Ba 0.000 0.000 0.050
CELL_PARAMETERS angstrom
-3.442 2.499 0.993
-2.304 -1.901 -3.187
-3.375 -7.361 6.831
! Energy above the lowest structure with this stoichiometry: 0.0 meV per atom
! Symmetry: P4/mmm, No. 123
! Spin magnetization: 0.00 μB/atom
! Raw total energy: -2.792 eV/atom

---

No. 11
! BaSc2 | Alexandria via LeMat-Bulk | GGA-PBE | optimized geometry; values from VASP
&SYSTEM
  ibrav = 0, nat = 6, ntyp = 2
/
ATOMIC_SPECIES
Ba 137.33 Ba.upf
Sc 44.96 Sc.upf
ATOMIC_POSITIONS crystal
Ba 0.776 0.776 0.250
Sc 0.506 0.896 0.750
Sc 0.494 0.104 0.250
Sc 0.104 0.494 0.250
Ba 0.224 0.224 0.750
Sc 0.896 0.506 0.750
CELL_PARAMETERS angstrom
1.794 0.296 6.714
-4.444 -4.120 -3.414
4.111 -3.658 -0.937
! Energy above the lowest structure with this stoichiometry: 90.6 meV per atom
! Symmetry: Cmcm, No. 63
! Spin magnetization: 0.00 μB/atom
! Raw total energy: -4.539 eV/atom

---

No. 12
! Ba5Sc3 | Alexandria via LeMat-Bulk | GGA-PBE | optimized geometry; values from VASP
&SYSTEM
  ibrav = 0, nat = 16, ntyp = 2
/
ATOMIC_SPECIES
Ba 137.33 Ba.upf
Sc 44.96 Sc.upf
ATOMIC_POSITIONS crystal
Ba 0.250 0.750 0.501
Sc 0.673 0.173 0.844
Ba 0.751 0.251 0.501
Sc 0.328 0.828 0.157
Ba 0.580 0.723 0.303
Ba 0.919 0.222 0.141
Sc 0.250 0.250 0.000
Ba 0.082 0.779 0.860
Ba 0.778 0.921 0.698
Sc 0.829 0.672 0.501
Ba 0.421 0.278 0.698
Ba 0.722 0.419 0.141
Ba 0.223 0.080 0.303
Ba 0.279 0.582 0.860
Sc 0.172 0.329 0.501
Sc 0.750 0.750 0.000
CELL_PARAMETERS angstrom
10.897 0.013 0.000
-8.744 6.503 0.000
-1.076 -3.258 10.327
! Energy above the lowest structure with this stoichiometry: 99.8 meV per atom
! Symmetry: Fmm2, No. 42
! Spin magnetization: 0.10 μB/atom
! Raw total energy: -3.131 eV/atom

---

No. 13
! Ba3Sc | Alexandria via LeMat-Bulk | GGA-PBE | optimized geometry; values from VASP
&SYSTEM
  ibrav = 0, nat = 8, ntyp = 2
/
ATOMIC_SPECIES
Ba 137.33 Ba.upf
Sc 44.96 Sc.upf
ATOMIC_POSITIONS crystal
Ba 0.000 0.170 0.248
Ba 0.500 0.355 0.000
Sc 0.000 0.669 0.000
Ba 0.500 0.830 0.748
Ba 0.500 0.830 0.252
Sc 0.500 0.331 0.500
Ba 0.000 0.170 0.752
Ba 0.000 0.645 0.500
CELL_PARAMETERS angstrom
6.588 0.000 0.000
0.000 7.200 0.000
0.000 0.000 8.174
! Energy above the lowest structure with this stoichiometry: 61.4 meV per atom
! Symmetry: Pmmn, No. 59
! Spin magnetization: 0.01 μB/atom
! Raw total energy: -2.731 eV/atom

---

No. 14
! BaSc2 | Alexandria via LeMat-Bulk | GGA-PBE | optimized geometry; values from VASP
&SYSTEM
  ibrav = 0, nat = 6, ntyp = 2
/
ATOMIC_SPECIES
Sc 44.96 Sc.upf
Ba 137.33 Ba.upf
ATOMIC_POSITIONS crystal
Sc 0.743 0.257 0.250
Ba 0.900 0.100 0.750
Sc 0.402 0.598 0.250
Sc 0.598 0.402 0.750
Ba 0.100 0.900 0.250
Sc 0.257 0.743 0.750
CELL_PARAMETERS angstrom
2.823 -6.238 0.000
2.823 6.238 0.000
0.000 0.000 5.584
! Energy above the lowest structure with this stoichiometry: 160.8 meV per atom
! Symmetry: Cmcm, No. 63
! Spin magnetization: 0.00 μB/atom
! Raw total energy: -4.469 eV/atom

---

No. 15
! Ba3Sc | Alexandria via LeMat-Bulk | GGA-PBE | optimized geometry; values from VASP
&SYSTEM
  ibrav = 0, nat = 16, ntyp = 2
/
ATOMIC_SPECIES
Ba 137.33 Ba.upf
Sc 44.96 Sc.upf
ATOMIC_POSITIONS crystal
Ba 0.500 0.000 0.500
Ba 0.500 0.500 0.000
Ba 0.679 0.839 0.750
Sc 0.333 0.667 0.250
Ba 0.000 0.500 0.000
Ba 0.000 0.500 0.500
Ba 0.839 0.161 0.250
Ba 0.500 0.000 0.000
Ba 0.500 0.500 0.500
Sc 0.000 0.000 0.000
Ba 0.161 0.321 0.750
Sc 0.667 0.333 0.750
Ba 0.839 0.679 0.250
Sc 0.000 0.000 0.500
Ba 0.321 0.161 0.250
Ba 0.161 0.839 0.750
CELL_PARAMETERS angstrom
8.257 0.000 0.000
-4.129 7.151 0.000
0.000 0.000 13.336
! Energy above the lowest structure with this stoichiometry: 78.5 meV per atom
! Symmetry: P6_3/mmc, No. 194
! Spin magnetization: 0.31 μB/atom
! Raw total energy: -2.713 eV/atom

---

No. 16
! BaSc3Se6 | Alexandria via LeMat-Bulk | GGA-PBE | optimized geometry; values from VASP
&SYSTEM
  ibrav = 0, nat = 20, ntyp = 3
/
ATOMIC_SPECIES
Ba 137.33 Ba.upf
Se 78.96 Se.upf
Sc 44.96 Sc.upf
ATOMIC_POSITIONS crystal
Ba 0.750 0.639 0.887
Se 0.250 0.864 0.936
Se 0.250 0.476 0.640
Sc 0.750 0.355 0.480
Sc 0.750 0.968 0.845
Sc 0.250 0.274 0.725
Sc 0.250 0.645 0.520
Se 0.750 0.524 0.360
Se 0.750 0.369 0.887
Se 0.250 0.074 0.773
Se 0.750 0.136 0.064
Se 0.250 0.244 0.337
Ba 0.250 0.361 0.113
Se 0.750 0.756 0.663
Se 0.250 0.631 0.113
Sc 0.750 0.726 0.275
Se 0.750 0.183 0.569
Se 0.250 0.817 0.431
Sc 0.250 0.032 0.155
Se 0.750 0.926 0.227
CELL_PARAMETERS angstrom
4.012 0.000 0.000
0.000 11.413 -4.008
0.000 -0.129 11.710
! Symmetry: P2_1/m, No. 11
! Spin magnetization: 0.00 μB/atom
! E_form (uncorrected): -1608 meV/atom
! Raw total energy: -5.791 eV/atom

---

No. 17
! BaScSe2 | Alexandria via LeMat-Bulk | GGA-PBE | optimized geometry; values from VASP
&SYSTEM
  ibrav = 0, nat = 4, ntyp = 3
/
ATOMIC_SPECIES
Se 78.96 Se.upf
Sc 44.96 Sc.upf
Ba 137.33 Ba.upf
ATOMIC_POSITIONS crystal
Se 0.250 0.250 0.250
Se 0.000 0.000 0.000
Sc 0.750 0.750 0.750
Ba 0.500 0.500 0.500
CELL_PARAMETERS angstrom
-2.872 -3.547 -2.595
-1.414 -4.469 2.363
-5.017 -0.794 1.328
! Energy above the lowest structure with this stoichiometry: 1258.7 meV per atom
! Symmetry: F-43m, No. 216
! Spin magnetization: 0.20 μB/atom
! E_form (uncorrected): -485 meV/atom
! Raw total energy: -4.291 eV/atom

---

No. 18
! Ba2Sc2Se | Alexandria via LeMat-Bulk | GGA-PBE | optimized geometry; values from VASP
&SYSTEM
  ibrav = 0, nat = 10, ntyp = 3
/
ATOMIC_SPECIES
Ba 137.33 Ba.upf
Se 78.96 Se.upf
Sc 44.96 Sc.upf
ATOMIC_POSITIONS crystal
Ba 0.169 0.669 0.500
Se 0.000 0.000 0.000
Sc 0.843 0.657 0.000
Ba 0.669 0.831 0.500
Sc 0.343 0.843 0.000
Sc 0.157 0.343 0.000
Sc 0.657 0.157 0.000
Ba 0.831 0.331 0.500
Ba 0.331 0.169 0.500
Se 0.500 0.500 0.000
CELL_PARAMETERS angstrom
7.323 0.000 0.000
0.000 7.323 0.000
0.000 0.000 6.236
! Energy above the lowest structure with this stoichiometry: 0.0 meV per atom
! Symmetry: P4/mbm, No. 127
! Spin magnetization: 0.00 μB/atom
! E_form (uncorrected): -259 meV/atom
! Raw total energy: -4.257 eV/atom

---

No. 19
! BaScSe2 | Alexandria via LeMat-Bulk | GGA-PBE | optimized geometry; values from VASP
&SYSTEM
  ibrav = 0, nat = 4, ntyp = 3
/
ATOMIC_SPECIES
Se 78.96 Se.upf
Ba 137.33 Ba.upf
Sc 44.96 Sc.upf
ATOMIC_POSITIONS crystal
Se 0.000 0.750 0.000
Se 0.000 0.750 0.500
Ba 0.500 0.250 0.250
Sc 0.500 0.750 0.750
CELL_PARAMETERS angstrom
-0.637 3.808 0.328
-1.290 -0.556 3.958
6.974 0.960 2.407
! Energy above the lowest structure with this stoichiometry: 186.9 meV per atom
! Symmetry: Pmmm, No. 47
! Spin magnetization: 0.00 μB/atom
! E_form (uncorrected): -1557 meV/atom
! Raw total energy: -5.363 eV/atom

---

No. 20
! BaSc3Se | Alexandria via LeMat-Bulk | GGA-PBE | optimized geometry; values from VASP
&SYSTEM
  ibrav = 0, nat = 5, ntyp = 3
/
ATOMIC_SPECIES
Sc 44.96 Sc.upf
Se 78.96 Se.upf
Ba 137.33 Ba.upf
ATOMIC_POSITIONS crystal
Sc 0.000 0.500 0.000
Se 0.500 0.500 0.500
Sc 0.500 0.000 0.000
Sc 0.000 0.000 0.500
Ba 0.000 0.000 0.000
CELL_PARAMETERS angstrom
5.326 0.000 0.000
0.000 5.326 0.000
0.000 0.000 5.326
! Energy above the lowest structure with this stoichiometry: 1432.8 meV per atom
! Symmetry: Pm-3m, No. 221
! Spin magnetization: 0.00 μB/atom
! E_form (uncorrected): 1178 meV/atom
! Raw total energy: -3.702 eV/atom